Version i
Compound: LaCdF2
Source: the Alexandria database
Functional: GGA-PBE
Structure: optimized geometry

Properties
Its total magnetization is 0.2376 μB/atom. As for the volume: 18.452 A^3/atom.

a b c (Å): 6.6586 6.6586 6.6586
angles (deg): 90.00 90.00 90.00
With the nearest neighbours (Å) after each atom.
Space group Fm-3m (No. 225)
Symmetry-distinct sites (fractional):
1 La 0.0000 0.0000 0.0000 x4  8 F 2.88
2 Cd 0.0000 0.0000 0.5000 x4  8 F 2.88
3 F 0.2500 0.2500 0.2500 x8  4 Cd 2.88, 4 La 2.88

Version ii
Compound: LaCdF2
Source: the Alexandria database
Functional: GGA-PBE
Structure: optimized geometry

Properties
Its total magnetization is 0.2346 μB/atom. As for the volume: 27.619 A^3/atom.

a b c (Å): 3.7208 3.7208 27.6430
angles (deg): 90.00 90.00 120.00
With the nearest neighbours (Å) after each atom.
Space group R-3m (No. 166, hexagonal axes)
Symmetry-distinct sites (fractional):
1 La 0.0000 0.0000 0.0000 x3  6 F 2.48
2 Cd 0.0000 0.0000 0.5000 x3  2 F 3.37, 6 Cd 3.72
3 F 0.0000 0.0000 0.3782 x6  3 La 2.48

Stability ranking, top and bottom: version ii is the most stable and version i is the least stable.